The following is a PBE calculation of a relaxed structure of AcLaPmAu, from Alexandria.

It has space group F-43m (No. 216), with a = 7.902 Å, b = 7.902 Å, c = 7.902 Å, α = 90.00°, β = 90.00° and γ = 90.00°. Symmetry generates all atoms from Ac at (0.000, 0.000, 0.000), La at (0.250, 0.250, 0.250), Pm at (0.250, 0.250, 0.750) and Au at (0.000, 0.000, 0.500).

Its energy relative to the elements is -50 meV per atom. The electronic total energy is -4.3159 eV/atom. Its volume is 30.84 Å³/atom.